Entry from Alexandria: a relaxed structure of YP2BrCl (PBE-GGA).

a b c (Å): 4.911 4.911 4.885
angles (deg): 90.00 90.00 90.00
Fractional positions:
Y 0.000 0.000 0.000
P 0.000 0.500 0.500
P 0.500 0.000 0.500
Br 0.500 0.500 0.500
Cl 0.500 0.500 0.000

Values from the calculation:
* relative energy among the computed polymorphs: 146 kJ/mol of formula units
* ρ: 3.75 g cm⁻³
* E_form (uncorrected): 0.33 eV per atom
* spin magnetization: 0.00 μB per cell